Record 1
This record from Alexandria describes a relaxed NiBiSb2I crystal. The functional is PBE.

Calculated values
energy above the most stable polymorph in this dataset: 0 meV per atom
electronic total energy: -17.88 eV for the cell shown
DOS at the Fermi energy: 7.1 states/eV per cell
formation energy without anion corrections: 316 meV/atom
symmetry: No. 123

```
NiBiSb2I
1.0
5.110 0.000 0.000
0.000 5.110 0.000
0.000 0.000 5.198
I Sb Bi Ni
1 2 1 1
Cartesian
0.000 0.000 2.599
0.000 2.555 0.000
2.555 0.000 0.000
2.555 2.555 2.599
0.000 0.000 0.000
```

=====

Record 2
This record from Alexandria describes a relaxed NiBiTeI2 crystal. The functional is PBE.

Calculated values
energy above the most stable polymorph in this dataset: 626 meV per atom
electronic total energy: -11.93 eV for the cell shown
DOS at the Fermi energy: 7.4 states/eV per cell
formation energy without anion corrections: 795 meV/atom
symmetry: No. 123

```
NiBiTeI2
1.0
-0.953 -3.320 4.967
5.935 -1.103 0.401
0.693 4.996 3.473
I Ni Te Bi
2 1 1 1
Cartesian
2.968 -0.551 0.201
-0.476 -1.660 2.484
2.838 0.287 4.421
0.347 2.498 1.736
0.000 0.000 0.000
```

=====

Record 3
This record from Alexandria describes a relaxed NiBiTe2I crystal. The functional is PBE.

Calculated values
energy above the most stable polymorph in this dataset: 807 meV per atom
electronic total energy: -12.54 eV for the cell shown
DOS at the Fermi energy: 13.4 states/eV per cell
formation energy without anion corrections: 991 meV/atom
symmetry: No. 123

```
NiBiTe2I
1.0
5.979 0.000 0.000
0.000 5.979 0.000
0.000 0.000 5.999
I Ni Te Bi
1 1 2 1
Cartesian
0.000 0.000 3.000
2.989 2.989 3.000
0.000 2.989 0.000
2.989 0.000 0.000
0.000 0.000 0.000
```

=====

- What is the formula in the first record?
  NiBiSb2I